Record 1
A relaxed Cu3PdCl crystal, computed with GGA-PBE. Values from VASP.

The structure in Quantum ESPRESSO input format:
```
&SYSTEM
  ibrav = 0, nat = 5, ntyp = 3
/
ATOMIC_SPECIES
Cu 63.55 Cu.upf
Pd 106.42 Pd.upf
Cl 35.45 Cl.upf
CELL_PARAMETERS angstrom
4.375 0.000 0.000
0.000 4.375 0.000
0.000 0.000 4.375
ATOMIC_POSITIONS angstrom
Cu 0.000 0.000 2.188
Cu 0.000 2.188 0.000
Cu 2.188 0.000 0.000
Pd 2.188 2.188 2.188
Cl 0.000 0.000 0.000
```

## Properties
DFT total energy (eV per atom): -3.16
Energy relative to the elements, uncorrected (eV/atom): 0.707
Crystal system: cubic
ρ (Mg/m³): 6.592
Distance to the lowest polymorph of the same formula (meV/atom): 0

=====

Record 2
A relaxed Cu4Pd2Cl crystal, computed with GGA-PBE. Values from VASP.

The structure in Quantum ESPRESSO input format:
```
&SYSTEM
  ibrav = 0, nat = 7, ntyp = 3
/
ATOMIC_SPECIES
Cu 63.55 Cu.upf
Pd 106.42 Pd.upf
Cl 35.45 Cl.upf
CELL_PARAMETERS angstrom
-2.143 2.143 6.403
2.143 -2.143 6.403
2.143 2.143 -6.403
ATOMIC_POSITIONS angstrom
Cu 2.143 0.000 0.000
Cu 0.000 0.000 2.373
Cu 0.000 2.143 0.000
Cu 0.000 0.000 10.433
Pd 0.000 0.000 4.825
Pd 0.000 0.000 7.981
Cl 0.000 0.000 0.000
```

## Properties
DFT total energy (eV per atom): -3.52
Energy relative to the elements, uncorrected (eV/atom): 0.573
Crystal system: tetragonal
ρ (Mg/m³): 7.091

=====

Record 3
A relaxed Cu3PdCl crystal, computed with GGA-PBE. Values from VASP.

The structure in Quantum ESPRESSO input format:
```
&SYSTEM
  ibrav = 0, nat = 5, ntyp = 3
/
ATOMIC_SPECIES
Cu 63.55 Cu.upf
Pd 106.42 Pd.upf
Cl 35.45 Cl.upf
CELL_PARAMETERS angstrom
4.728 0.000 0.000
0.000 4.728 0.000
0.000 0.000 4.728
ATOMIC_POSITIONS angstrom
Cu 0.000 0.000 2.364
Cu 0.000 2.364 0.000
Cu 2.364 0.000 0.000
Pd 0.000 0.000 0.000
Cl 2.364 2.364 2.364
```

## Properties
DFT total energy (eV per atom): -3.09
Energy relative to the elements, uncorrected (eV/atom): 0.771
Crystal system: cubic
ρ (Mg/m³): 5.223
Distance to the lowest polymorph of the same formula (meV/atom): 64

=====

Record 4
A relaxed Cu5PdCl12 crystal, computed with GGA-PBE. Values from VASP.

The structure in Quantum ESPRESSO input format:
```
&SYSTEM
  ibrav = 0, nat = 18, ntyp = 3
/
ATOMIC_SPECIES
Cu 63.55 Cu.upf
Pd 106.42 Pd.upf
Cl 35.45 Cl.upf
CELL_PARAMETERS angstrom
6.354 0.000 0.000
1.520 6.174 0.000
0.982 1.611 12.236
ATOMIC_POSITIONS angstrom
Cu 0.000 0.000 0.000
Cu 2.625 2.059 0.003
Cu 3.899 5.963 6.116
Cu 4.956 1.822 6.120
Cu 6.230 5.726 12.233
Pd 1.251 3.892 6.118
Cl 0.832 1.642 1.350
Cl 2.112 5.563 4.748
Cl 3.083 4.323 7.484
Cl 2.774 2.029 10.891
Cl 3.457 3.701 1.348
Cl 3.291 1.285 4.675
Cl 5.564 6.499 7.560
Cl 5.399 4.083 10.888
Cl 6.081 5.756 1.345
Cl 5.772 3.461 4.752
Cl 6.743 2.222 7.488
Cl 8.024 6.143 10.886
```

## Properties
DFT total energy (eV per atom): -3.15
Energy relative to the elements, uncorrected (eV/atom): -0.493
Crystal system: triclinic
ρ (Mg/m³): 2.939

=====

Record 5
A relaxed Cu5Pd3Cl12 crystal, computed with GGA-PBE. Values from VASP.

The structure in Quantum ESPRESSO input format:
```
&SYSTEM
  ibrav = 0, nat = 80, ntyp = 3
/
ATOMIC_SPECIES
Cu 63.55 Cu.upf
Pd 106.42 Pd.upf
Cl 35.45 Cl.upf
CELL_PARAMETERS angstrom
-7.574 7.574 7.574
7.574 -7.574 7.574
7.574 7.574 -7.574
ATOMIC_POSITIONS angstrom
Cu 0.000 0.000 0.000
Cu 3.787 3.787 -3.787
Cu 3.787 -3.787 3.787
Cu 7.574 0.000 0.000
Cu 11.362 1.894 0.000
Cu 7.574 -3.787 5.681
Cu 5.681 7.574 -3.787
Cu 5.681 0.000 3.787
Cu 3.787 5.681 0.000
Cu 7.574 3.787 1.894
Cu -3.787 3.787 3.787
Cu 0.000 7.574 0.000
Cu 0.000 0.000 7.574
Cu 3.787 3.787 3.787
Cu 0.000 3.787 5.681
Cu 3.787 1.894 7.574
Cu 1.894 7.574 3.787
Cu 1.894 0.000 11.362
Cu 0.000 11.362 1.894
Cu -3.787 5.681 7.574
Pd 3.787 1.894 0.000
Pd 7.574 3.787 -1.894
Pd 1.894 0.000 3.787
Pd 9.468 0.000 3.787
Pd 0.000 3.787 1.894
Pd 3.787 -1.894 7.574
Pd 3.787 9.468 0.000
Pd 7.574 3.787 5.681
Pd -1.894 7.574 3.787
Pd 5.681 7.574 3.787
Pd 0.000 3.787 9.468
Pd 3.787 5.681 7.574
Cl 2.355 -0.239 0.636
Cl 9.006 4.423 -4.026
Cl 9.929 0.239 0.636
Cl 9.006 -3.151 4.026
Cl 7.335 -0.636 2.355
Cl 11.601 -1.432 3.151
Cl 0.636 2.355 -0.239
Cl 10.725 3.548 -1.432
Cl 4.423 4.026 -1.432
Cl 6.938 2.355 0.239
Cl -0.239 0.636 2.355
Cl 4.026 -1.432 4.423
Cl 7.335 6.938 -2.355
Cl 4.026 1.432 3.151
Cl 4.423 -4.026 9.006
Cl 6.938 -2.355 7.335
Cl 3.151 4.026 1.432
Cl 8.211 5.219 0.239
Cl 4.026 9.006 -3.151
Cl 7.335 0.636 5.219
Cl 2.355 7.335 -0.636
Cl 9.006 3.151 3.548
Cl 1.432 3.151 4.026
Cl 2.355 0.239 6.938
Cl 5.219 7.335 0.636
Cl 6.142 4.423 3.548
Cl -1.432 4.423 4.026
Cl 5.219 0.239 8.211
Cl 0.239 6.938 2.355
Cl 3.548 -1.432 10.725
Cl -0.636 2.355 7.335
Cl 4.423 3.548 6.142
Cl 0.636 9.929 0.239
Cl 3.151 11.601 -1.432
Cl 3.548 6.142 4.423
Cl 0.239 0.636 9.929
Cl 3.548 9.006 3.151
Cl 7.814 6.938 5.219
Cl 0.636 5.219 7.335
Cl 3.151 3.548 9.006
Cl -3.151 4.026 9.006
Cl 6.938 5.219 7.814
Cl -4.026 9.006 4.423
Cl 0.239 8.211 5.219
Cl -1.432 10.725 3.548
Cl -2.355 7.335 6.938
Cl -1.432 3.151 11.601
Cl 5.219 7.814 6.938
```

## Properties
DFT total energy (eV per atom): -3.16
Energy relative to the elements, uncorrected (eV/atom): -0.251
Crystal system: cubic
ρ (Mg/m³): 4.060

=====

Record 6
A relaxed Cu2PdCl crystal, computed with GGA-PBE. Values from VASP.

The structure in Quantum ESPRESSO input format:
```
&SYSTEM
  ibrav = 0, nat = 8, ntyp = 3
/
ATOMIC_SPECIES
Cu 63.55 Cu.upf
Pd 106.42 Pd.upf
Cl 35.45 Cl.upf
CELL_PARAMETERS angstrom
-3.482 3.482 2.573
3.482 -3.482 2.573
3.482 3.482 -2.573
ATOMIC_POSITIONS angstrom
Cu 1.741 1.601 -0.643
Cu 1.881 -1.741 3.216
Cu 1.741 1.881 1.930
Cu 1.601 5.223 0.643
Pd 3.482 0.000 1.286
Pd 0.000 0.000 2.573
Cl 0.000 0.000 0.000
Cl 0.000 3.482 1.286
```

## Properties
DFT total energy (eV per atom): -3.53
Energy relative to the elements, uncorrected (eV/atom): 0.278
Crystal system: tetragonal
ρ (Mg/m³): 7.160
Distance to the lowest polymorph of the same formula (meV/atom): 0

=====

Record 7
A relaxed CuPd2Cl crystal, computed with GGA-PBE. Values from VASP.

The structure in Quantum ESPRESSO input format:
```
&SYSTEM
  ibrav = 0, nat = 4, ntyp = 3
/
ATOMIC_SPECIES
Cu 63.55 Cu.upf
Pd 106.42 Pd.upf
Cl 35.45 Cl.upf
CELL_PARAMETERS angstrom
0.000 3.140 3.140
3.140 0.000 3.140
3.140 3.140 0.000
ATOMIC_POSITIONS angstrom
Cu 0.000 0.000 0.000
Pd 1.570 1.570 1.570
Pd 4.709 4.709 4.709
Cl 3.140 3.140 3.140
```

## Properties
DFT total energy (eV per atom): -3.77
Energy relative to the elements, uncorrected (eV/atom): 0.309
Crystal system: cubic
ρ (Mg/m³): 8.366
Distance to the lowest polymorph of the same formula (meV/atom): 0

=====

Record 8
A relaxed CuPdCl6 crystal, computed with GGA-PBE. Values from VASP.

The structure in Quantum ESPRESSO input format:
```
&SYSTEM
  ibrav = 0, nat = 8, ntyp = 3
/
ATOMIC_SPECIES
Cu 63.55 Cu.upf
Pd 106.42 Pd.upf
Cl 35.45 Cl.upf
CELL_PARAMETERS angstrom
3.156 -5.496 0.000
3.156 5.496 0.000
-2.562 0.000 5.765
ATOMIC_POSITIONS angstrom
Cu 0.000 0.000 0.000
Pd 1.875 0.000 2.883
Cl 0.922 1.575 1.419
Cl -0.099 0.000 4.166
Cl 0.922 -1.575 1.419
Cl 2.829 1.575 4.346
Cl 3.849 0.000 1.599
Cl 2.829 -1.575 4.346
```

## Properties
DFT total energy (eV per atom): -2.89
Energy relative to the elements, uncorrected (eV/atom): -0.345
Crystal system: monoclinic
ρ (Mg/m³): 3.177
Distance to the lowest polymorph of the same formula (meV/atom): 0

=====

Record 9
A relaxed Cu2PdCl crystal, computed with GGA-PBE. Values from VASP.

The structure in Quantum ESPRESSO input format:
```
&SYSTEM
  ibrav = 0, nat = 4, ntyp = 3
/
ATOMIC_SPECIES
Cu 63.55 Cu.upf
Pd 106.42 Pd.upf
Cl 35.45 Cl.upf
CELL_PARAMETERS angstrom
0.000 3.112 3.112
3.112 0.000 3.112
3.112 3.112 0.000
ATOMIC_POSITIONS angstrom
Cu 1.556 1.556 1.556
Cu 4.668 4.668 4.668
Pd 0.000 0.000 0.000
Cl 3.112 3.112 3.112
```

## Properties
DFT total energy (eV per atom): -3.51
Energy relative to the elements, uncorrected (eV/atom): 0.299
Crystal system: cubic
ρ (Mg/m³): 7.410
Distance to the lowest polymorph of the same formula (meV/atom): 21

=====

Record 10
A relaxed CuPd2Cl6 crystal, computed with GGA-PBE. Values from VASP.

The structure in Quantum ESPRESSO input format:
```
&SYSTEM
  ibrav = 0, nat = 18, ntyp = 3
/
ATOMIC_SPECIES
Cu 63.55 Cu.upf
Pd 106.42 Pd.upf
Cl 35.45 Cl.upf
CELL_PARAMETERS angstrom
4.029 -5.626 0.000
4.029 5.626 0.000
-1.957 0.000 10.721
ATOMIC_POSITIONS angstrom
Cu 2.562 4.722 8.041
Cu 3.540 -4.722 2.680
Pd 1.418 1.016 9.503
Pd 2.396 -1.016 4.143
Pd 3.706 1.016 6.578
Pd 4.684 -1.016 1.218
Cl 1.264 3.309 9.276
Cl 0.121 0.708 7.607
Cl 1.100 -0.708 2.247
Cl 2.440 1.271 4.628
Cl 3.860 3.309 6.805
Cl 4.641 1.271 0.733
Cl 1.462 -1.271 9.988
Cl 2.242 -3.309 3.916
Cl 3.662 -1.271 6.094
Cl 5.002 0.708 8.474
Cl 5.981 -0.708 3.114
Cl 4.838 -3.309 1.445
```

## Properties
DFT total energy (eV per atom): -3.29
Energy relative to the elements, uncorrected (eV/atom): -0.446
Crystal system: monoclinic
ρ (Mg/m³): 3.342
Distance to the lowest polymorph of the same formula (meV/atom): 0